Density functional theory data (PBE) for Pa2Te5Pd after structural relaxation.

Unit cell a=6.012 b=13.222 c=13.750 alpha=90.00 beta=90.00 gamma=90.00
Space group Cmcm (No. 63)
Unique sites:
Pa (0.000, 0.161, 0.070) x8
Te (0.000, 0.057, 0.621) x8
Te (0.000, 0.294, 0.250) x4
Te (0.000, 0.346, 0.576) x8
Pd (0.000, 0.222, 0.750) x4

Summary:
Energy relative to the elements, uncorrected: -545 meV per atom
DOS(E_F): 23.89 states/eV/cell